(1)
First-principles (GGA-PBE) data for an optimized crystal structure of Pr3NdTm5, as listed in Alexandria. Values from VASP.

Quantum ESPRESSO input file:
```
&SYSTEM
  ibrav = 0, nat = 18, ntyp = 3
/
ATOMIC_SPECIES
Pr 140.91 Pr.upf
Nd 144.24 Nd.upf
Tm 168.93 Tm.upf
ATOMIC_POSITIONS angstrom
Pr 13.158 9.936 9.767
Pr 10.119 7.641 5.547
Pr 0.000 0.000 0.000
Pr 2.856 2.157 4.659
Pr 4.695 3.545 2.757
Pr 7.734 5.840 6.977
Nd 5.308 4.008 6.065
Nd 12.545 9.473 6.459
Tm 10.296 4.318 4.173
Tm 4.462 6.714 1.603
Tm 15.376 11.611 11.609
Tm 7.220 5.452 3.631
Tm 10.633 8.029 8.893
Tm 2.477 1.870 0.915
Tm 6.972 8.721 4.173
Tm 7.679 2.453 1.603
Tm 7.557 9.163 8.351
Tm 10.881 4.760 8.351
CELL_PARAMETERS angstrom
9.431 0.133 1.603
2.709 9.035 1.603
5.712 4.313 9.318
```

Computed properties:
**E**: -4.090 eV per atom
**ΔH_f (0 K)**: 0.52 eV/atom
**Magnetic moment**: 0.00 μB per formula unit


(2)
First-principles (GGA-PBE) data for an optimized crystal structure of Nd3YAs4, as listed in Alexandria. Values from VASP.

Quantum ESPRESSO input file:
```
&SYSTEM
  ibrav = 0, nat = 8, ntyp = 3
/
ATOMIC_SPECIES
Y 88.91 Y.upf
As 74.92 As.upf
Nd 144.24 Nd.upf
ATOMIC_POSITIONS angstrom
Y 0.000 0.000 0.000
As -0.824 -2.485 1.456
As 1.800 -1.626 -1.757
As 2.248 0.392 1.941
As 3.224 -3.720 1.639
Nd 4.048 -1.235 0.183
Nd 1.424 -2.094 3.396
Nd 0.976 -4.111 -0.302
CELL_PARAMETERS angstrom
-1.648 -4.970 2.912
3.600 -3.253 -3.515
4.496 0.783 3.881
```

Computed properties:
**Polymorph energy (0 for the lowest one)**: 0.002 eV per atom
**E**: -6.436 eV per atom
**ΔH_f (0 K)**: -1.52 eV/atom
**Magnetic moment**: 0.00 μB per formula unit


(3)
First-principles (GGA-PBE) data for an optimized crystal structure of Cs2AgGeBr6, as listed in Alexandria. Values from VASP.

Quantum ESPRESSO input file:
```
&SYSTEM
  ibrav = 0, nat = 10, ntyp = 4
/
ATOMIC_SPECIES
Cs 132.91 Cs.upf
Ge 72.64 Ge.upf
Br 79.90 Br.upf
Ag 107.87 Ag.upf
ATOMIC_POSITIONS angstrom
Cs 7.785 3.893 2.767
Cs 3.893 7.785 2.767
Ge 3.893 3.893 0.000
Br 3.893 3.893 2.693
Br 7.785 7.785 2.841
Br 1.990 1.990 0.000
Br 5.795 5.795 0.000
Br 5.795 1.990 0.000
Br 1.990 5.795 0.000
Ag 0.000 0.000 0.000
CELL_PARAMETERS angstrom
7.785 0.000 0.000
0.000 7.785 0.000
3.893 3.893 5.534
```

Computed properties:
**E**: -2.949 eV per atom
**Formation energy from raw total energies**: -1.027 eV per atom
**Magnetic moment**: 0.00 μB per formula unit


(4)
First-principles (GGA-PBE) data for an optimized crystal structure of Nb2TlTeO8, as listed in Alexandria. Values from VASP.

Quantum ESPRESSO input file:
```
&SYSTEM
  ibrav = 0, nat = 12, ntyp = 4
/
ATOMIC_SPECIES
Nb 92.91 Nb.upf
Tl 204.38 Tl.upf
Te 127.60 Te.upf
O 16.00 O.upf
ATOMIC_POSITIONS angstrom
Nb -6.822 -1.961 2.392
Nb -4.158 -3.697 1.641
Tl -3.457 0.886 1.074
Te 0.000 0.000 0.000
O -2.824 -3.125 2.919
O -3.532 -5.510 1.567
O -3.866 -3.356 -0.241
O -8.156 -2.533 1.113
O -7.448 -0.148 2.466
O -7.114 -2.302 4.273
O -5.919 -3.992 2.242
O -5.061 -1.666 1.790
CELL_PARAMETERS angstrom
-3.018 -3.933 -2.047
-1.049 -3.496 3.930
-6.913 1.772 2.149
```

Computed properties:
**E**: -7.185 eV per atom
**Formation energy from raw total energies**: -1.742 eV per atom
**Magnetic moment**: 0.00 μB per formula unit


(5)
First-principles (GGA-PBE) data for an optimized crystal structure of KMgIn2, as listed in Alexandria. Values from VASP.

Quantum ESPRESSO input file:
```
&SYSTEM
  ibrav = 0, nat = 4, ntyp = 3
/
ATOMIC_SPECIES
In 114.82 In.upf
K 39.10 K.upf
Mg 24.30 Mg.upf
ATOMIC_POSITIONS angstrom
In 0.300 0.049 0.029
In 15.820 2.588 1.521
K 8.060 1.319 0.775
Mg 24.180 3.956 2.325
CELL_PARAMETERS angstrom
11.123 0.049 0.029
10.558 3.498 0.029
10.558 1.728 3.042
```

Computed properties:
**E**: -2.039 eV per atom
**ΔH_f (0 K)**: 0.00 eV/atom
**Magnetic moment**: 0.00 μB per formula unit


(6)
First-principles (GGA-PBE) data for an optimized crystal structure of Tm2Ta2InRh5, as listed in Alexandria. Values from VASP.

Quantum ESPRESSO input file:
```
&SYSTEM
  ibrav = 0, nat = 20, ntyp = 4
/
ATOMIC_SPECIES
Tm 168.93 Tm.upf
Ta 180.95 Ta.upf
In 114.82 In.upf
Rh 102.91 Rh.upf
ATOMIC_POSITIONS angstrom
Tm 2.868 -6.224 -1.602
Tm -0.924 -7.555 4.644
Tm -0.117 -3.341 1.617
Tm 2.061 -10.439 1.425
Ta -1.314 -4.789 4.033
Ta 3.258 -8.990 -0.991
Ta 0.423 -10.156 3.753
Ta 1.521 -3.624 -0.710
In 0.000 0.000 0.000
In 0.972 -6.890 1.521
Rh -0.643 -2.415 -1.436
Rh -0.419 -12.232 2.469
Rh -3.639 -5.806 4.510
Rh 0.723 -8.521 -0.842
Rh 2.578 -8.841 -3.478
Rh -1.784 -6.126 1.875
Rh -0.861 -9.099 1.777
Rh -0.200 -5.548 -0.744
Rh 1.023 -4.231 -3.142
Rh -3.056 -3.527 2.654
CELL_PARAMETERS angstrom
-3.006 -0.868 -2.009
5.051 -7.594 -4.275
-3.107 -6.185 7.317
```

Computed properties:
**E**: -7.640 eV per atom
**ΔH_f (0 K)**: -0.43 eV/atom
**Magnetic moment**: 0.00 μB per formula unit


(7)
First-principles (GGA-PBE) data for an optimized crystal structure of Ho3Zn8Pd, as listed in Alexandria. Values from VASP.

Quantum ESPRESSO input file:
```
&SYSTEM
  ibrav = 0, nat = 12, ntyp = 3
/
ATOMIC_SPECIES
Ho 164.93 Ho.upf
Zn 65.41 Zn.upf
Pd 106.42 Pd.upf
ATOMIC_POSITIONS angstrom
Ho 5.298 3.059 7.648
Ho 7.947 4.588 0.226
Ho 5.298 3.059 4.311
Zn 6.623 2.294 1.700
Zn 6.630 5.349 6.025
Zn 3.974 2.294 1.700
Zn 9.265 5.349 6.025
Zn 2.649 1.529 3.843
Zn 7.947 4.588 8.301
Zn 5.298 4.588 1.700
Zn 7.947 3.067 6.025
Pd 7.947 4.588 3.216
CELL_PARAMETERS angstrom
5.298 0.000 0.000
2.649 4.588 0.000
2.649 1.529 8.821
```

Computed properties:
**E**: -2.795 eV per atom
**ΔH_f (0 K)**: -0.37 eV/atom
**Magnetic moment**: 0.00 μB per formula unit


(8)
First-principles (GGA-PBE) data for an optimized crystal structure of PuNpP2Ru2, as listed in Alexandria. Values from VASP.

Quantum ESPRESSO input file:
```
&SYSTEM
  ibrav = 0, nat = 6, ntyp = 4
/
ATOMIC_SPECIES
Pu 244.00 Pu.upf
Np 237.00 Np.upf
P 30.97 P.upf
Ru 101.07 Ru.upf
ATOMIC_POSITIONS angstrom
Pu 0.000 0.000 0.000
Np 0.782 0.649 3.683
P 1.837 -1.503 1.666
P 0.453 -1.132 6.239
Ru 2.585 -0.882 5.190
Ru -0.295 -1.753 2.715
CELL_PARAMETERS angstrom
-2.999 -2.477 1.073
3.725 -1.455 -0.534
1.563 1.298 7.366
```

Computed properties:
**E**: -10.112 eV per atom
**ΔH_f (0 K)**: -0.67 eV/atom
**Magnetic moment**: 2.01 μB per formula unit


(9)
First-principles (GGA-PBE) data for an optimized crystal structure of Sm2AlN, as listed in Alexandria. Values from VASP.

Quantum ESPRESSO input file:
```
&SYSTEM
  ibrav = 0, nat = 4, ntyp = 3
/
ATOMIC_SPECIES
Al 26.98 Al.upf
Sm 150.36 Sm.upf
N 14.01 N.upf
ATOMIC_POSITIONS angstrom
Al 0.000 0.000 0.000
Sm 4.325 3.540 2.772
Sm 3.380 -0.059 5.927
N 3.853 1.741 4.349
CELL_PARAMETERS angstrom
-0.609 -0.220 3.431
1.907 -2.156 1.977
6.407 5.857 3.290
```

Computed properties:
**E**: -5.862 eV per atom
**Formation energy from raw total energies**: -0.485 eV per atom
**Magnetic moment**: 0.00 μB per formula unit


(10)
First-principles (GGA-PBE) data for an optimized crystal structure of K3YSn, as listed in Alexandria. Values from VASP.

Quantum ESPRESSO input file:
```
&SYSTEM
  ibrav = 0, nat = 5, ntyp = 3
/
ATOMIC_SPECIES
Y 88.91 Y.upf
K 39.10 K.upf
Sn 118.71 Sn.upf
ATOMIC_POSITIONS angstrom
Y 0.000 0.000 0.000
K 1.699 -1.695 2.412
K 0.809 2.946 1.500
K -2.835 -0.175 1.874
Sn -0.327 1.075 5.787
CELL_PARAMETERS angstrom
-5.671 -0.351 3.748
3.399 -3.391 4.825
1.618 5.891 3.000
```

Computed properties:
**Polymorph energy (0 for the lowest one)**: 0.436 eV per atom
**E**: -1.682 eV per atom
**ΔH_f (0 K)**: 1.07 eV/atom
**Magnetic moment**: 0.46 μB per formula unit


(11)
First-principles (GGA-PBE) data for an optimized crystal structure of CaYMgAg, as listed in Alexandria. Values from VASP.

Quantum ESPRESSO input file:
```
&SYSTEM
  ibrav = 0, nat = 4, ntyp = 4
/
ATOMIC_SPECIES
Ca 40.08 Ca.upf
Y 88.91 Y.upf
Mg 24.30 Mg.upf
Ag 107.87 Ag.upf
ATOMIC_POSITIONS angstrom
Ca 0.000 0.000 6.705
Y 0.000 0.000 2.589
Mg 1.872 1.872 4.553
Ag 1.872 1.872 0.957
CELL_PARAMETERS angstrom
3.744 0.000 0.000
0.000 3.744 0.000
0.000 0.000 7.679
```

Computed properties:
**Polymorph energy (0 for the lowest one)**: 0.000 eV per atom
**E**: -3.427 eV per atom
**ΔH_f (0 K)**: -0.20 eV/atom
**Magnetic moment**: 0.00 μB per formula unit


(12)
First-principles (GGA-PBE) data for an optimized crystal structure of LaY2Zn2, as listed in Alexandria. Values from VASP.

Quantum ESPRESSO input file:
```
&SYSTEM
  ibrav = 0, nat = 5, ntyp = 3
/
ATOMIC_SPECIES
Y 88.91 Y.upf
Zn 65.41 Zn.upf
La 138.91 La.upf
ATOMIC_POSITIONS angstrom
Y -1.274 -3.443 0.131
Y -3.975 -7.140 1.128
Zn -3.498 -5.020 -0.729
Zn -1.751 -5.563 1.988
La 0.000 0.000 0.000
CELL_PARAMETERS angstrom
-1.615 -2.648 -3.439
1.878 -3.734 1.994
-5.512 -4.200 2.704
```

Computed properties:
**Polymorph energy (0 for the lowest one)**: 0.302 eV per atom
**E**: -4.033 eV per atom
**ΔH_f (0 K)**: 0.05 eV/atom
**Magnetic moment**: 0.01 μB per formula unit